A relaxed NaSr2Te crystal, computed with PBE-GGA.

a b c (Å): 4.251 4.251 8.349
angles (deg): 90.00 90.00 90.00
Fractional coordinates of all 4 atoms:
Na  0.500  0.500  0.500
Te  0.500  0.500  0.000
Sr  0.000  0.000  0.773
Sr  0.000  0.000  0.227

The calculation puts the volume at 37.7 A^3/atom. The total DFT energy (no corrections) comes out at -10.68 eV for the cell shown.

***

A relaxed NaSr2Te crystal, computed with PBE-GGA.

a b c (Å): 4.507 4.507 10.696
angles (deg): 77.84 77.84 60.00
Fractional coordinates of all 4 atoms:
Te  0.000  0.000  0.000
Sr  0.267  0.267  0.198
Sr  0.733  0.733  0.802
Na  0.500  0.500  0.500

The calculation puts the volume at 45.6 A^3/atom. The total DFT energy (no corrections) comes out at -10.76 eV for the cell shown.

***

A relaxed NaSrTe3 crystal, computed with PBE-GGA.

a b c (Å): 5.582 5.582 5.582
angles (deg): 90.00 90.00 90.00
Fractional coordinates of all 5 atoms:
Te  0.500  0.000  0.000
Te  0.000  0.500  0.000
Te  0.000  0.000  0.500
Sr  0.500  0.500  0.500
Na  0.000  0.000  0.000

The calculation puts the volume at 34.8 A^3/atom. The total DFT energy (no corrections) comes out at -14.12 eV for the cell shown. The polymorph energy (0 for the lowest one) comes out at 0.00 kJ per mole of atoms.

***

A relaxed Na2SrTe crystal, computed with PBE-GGA.

a b c (Å): 4.689 4.689 14.179
angles (deg): 80.48 80.48 90.00
Fractional coordinates of all 8 atoms:
Sr  0.500  0.500  0.000
Sr  0.250  0.750  0.500
Na  0.875  0.890  0.750
Na  0.375  0.360  0.750
Na  0.640  0.125  0.250
Na  0.110  0.625  0.250
Te  0.750  0.250  0.500
Te  0.000  0.000  0.000

The calculation puts the volume at 37.9 A^3/atom. The total DFT energy (no corrections) comes out at -19.84 eV for the cell shown.

***

A relaxed NaSrTe2 crystal, computed with PBE-GGA.

a b c (Å): 4.202 4.202 7.236
angles (deg): 90.00 90.00 90.00
Fractional coordinates of all 4 atoms:
Sr  0.500  0.500  0.000
Na  0.500  0.500  0.500
Te  0.000  0.000  0.249
Te  0.000  0.000  0.751

The calculation puts the volume at 31.9 A^3/atom. The total DFT energy (no corrections) comes out at -13.45 eV for the cell shown.

***

A relaxed Na4Sr2Te crystal, computed with PBE-GGA.

a b c (Å): 5.682 5.682 11.551
angles (deg): 75.76 75.76 90.00
Fractional coordinates of all 7 atoms:
Na  0.138  0.138  0.723
Na  0.000  0.500  0.000
Na  0.862  0.862  0.277
Na  0.500  0.000  0.000
Te  0.000  0.000  0.000
Sr  0.693  0.693  0.615
Sr  0.307  0.307  0.385

The calculation puts the volume at 49.9 A^3/atom. The total DFT energy (no corrections) comes out at -12.78 eV for the cell shown.

***

A relaxed NaSrTe2 crystal, computed with PBE-GGA.

a b c (Å): 4.871 4.871 7.579
angles (deg): 71.26 71.26 60.00
Fractional coordinates of all 4 atoms:
Te  0.249  0.249  0.254
Te  0.088  0.088  0.737
Sr  0.669  0.669  0.992
Na  0.494  0.494  0.517

The calculation puts the volume at 36.1 A^3/atom. The total DFT energy (no corrections) comes out at -13.52 eV for the cell shown.

***

A relaxed NaSr2Te crystal, computed with PBE-GGA.

a b c (Å): 9.372 9.372 7.854
angles (deg): 53.37 53.37 90.00
Fractional coordinates of all 8 atoms:
Sr  0.375  0.334  0.750
Sr  0.666  0.125  0.250
Sr  0.875  0.916  0.750
Sr  0.084  0.625  0.250
Na  0.500  0.500  0.000
Na  0.250  0.750  0.500
Te  0.000  0.000  0.000
Te  0.750  0.250  0.500

The calculation puts the volume at 46.3 A^3/atom. The total DFT energy (no corrections) comes out at -20.14 eV for the cell shown.

***

A relaxed NaSrTe2 crystal, computed with PBE-GGA.

a b c (Å): 5.657 5.657 5.657
angles (deg): 60.00 60.00 60.00
Fractional coordinates of all 4 atoms:
Na  0.000  0.000  0.000
Te  0.750  0.750  0.750
Te  0.250  0.250  0.250
Sr  0.500  0.500  0.500

The calculation puts the volume at 32.0 A^3/atom. The total DFT energy (no corrections) comes out at -13.40 eV for the cell shown.

***

A relaxed Na3SrTe crystal, computed with PBE-GGA.

a b c (Å): 6.071 6.071 6.071
angles (deg): 90.00 90.00 90.00
Fractional coordinates of all 5 atoms:
Na  0.000  0.500  0.000
Na  0.000  0.000  0.500
Na  0.500  0.000  0.000
Sr  0.500  0.500  0.500
Te  0.000  0.000  0.000

The calculation puts the volume at 44.8 A^3/atom. The total DFT energy (no corrections) comes out at -10.19 eV for the cell shown. The polymorph energy (0 for the lowest one) comes out at 0.00 kJ per mole of atoms.

***

A relaxed Na4SrTh3Te8 crystal, computed with PBE-GGA.

a b c (Å): 9.041 9.256 9.042
angles (deg): 119.25 120.00 90.00
Fractional coordinates of all 16 atoms:
Te  0.747  0.256  0.493
Te  0.747  0.256  0.009
Te  0.253  0.258  0.505
Te  0.747  0.742  0.495
Te  0.253  0.744  0.991
Te  0.253  0.744  0.507
Te  0.737  0.744  0.991
Te  0.263  0.256  0.009
Na  0.500  0.000  0.000
Na  0.500  0.000  0.500
Na  0.000  0.000  0.000
Na  0.000  0.000  0.500
Sr  0.000  0.500  0.000
Th  0.500  0.500  0.000
Th  0.000  0.500  0.500
Th  0.500  0.500  0.500

The calculation puts the volume at 33.8 A^3/atom. The total DFT energy (no corrections) comes out at -73.18 eV for the cell shown.

***

A relaxed NaSr2ThTe4 crystal, computed with PBE-GGA.

a b c (Å): 4.576 8.061 8.004
angles (deg): 108.71 90.00 90.00
Fractional coordinates of all 8 atoms:
Sr  0.000  0.500  0.500
Sr  0.500  0.000  0.500
Te  0.500  0.746  0.763
Te  0.500  0.254  0.237
Te  0.000  0.256  0.762
Te  0.000  0.744  0.238
Na  0.000  0.000  0.000
Th  0.500  0.500  0.000

The calculation puts the volume at 35.0 A^3/atom. The total DFT energy (no corrections) comes out at -35.76 eV for the cell shown.

***

A relaxed NaSr3Tm2Te6 crystal, computed with PBE-GGA.

a b c (Å): 7.880 7.880 7.905
angles (deg): 99.56 99.56 119.97
Fractional coordinates of all 12 atoms:
Te  0.077  0.421  0.230
Te  0.421  0.077  0.230
Te  0.731  0.731  0.225
Te  0.579  0.923  0.770
Te  0.269  0.269  0.775
Te  0.923  0.579  0.770
Tm  0.332  0.668  0.000
Tm  0.668  0.332  0.000
Sr  0.500  0.500  0.500
Sr  0.838  0.162  0.500
Sr  0.162  0.838  0.500
Na  0.000  0.000  0.000

The calculation puts the volume at 33.4 A^3/atom. The total DFT energy (no corrections) comes out at -51.84 eV for the cell shown.

***

A relaxed NaSr3Tm3Te8 crystal, computed with PBE-GGA.

a b c (Å): 8.949 8.949 9.117
angles (deg): 119.39 90.00 120.00
Fractional coordinates of all 15 atoms:
Te  0.273  0.021  0.269
Te  0.748  0.022  0.269
Te  0.252  0.978  0.731
Te  0.258  0.515  0.273
Te  0.727  0.979  0.731
Te  0.742  0.485  0.727
Te  0.252  0.504  0.731
Te  0.748  0.496  0.269
Sr  0.500  0.500  0.000
Sr  0.000  0.500  0.000
Sr  0.000  0.000  0.000
Tm  0.500  0.500  0.500
Tm  0.500  0.000  0.500
Tm  0.000  0.500  0.500
Na  0.000  0.000  0.500

The calculation puts the volume at 34.7 A^3/atom. The total DFT energy (no corrections) comes out at -66.06 eV for the cell shown.

***

A relaxed NaSrTm2Te4 crystal, computed with PBE-GGA.

a b c (Å): 6.308 6.308 7.666
angles (deg): 114.28 114.28 90.04
Fractional coordinates of all 8 atoms:
Te  0.681  0.681  0.487
Te  0.194  0.194  0.513
Te  0.937  0.437  0.000
Te  0.437  0.937  0.000
Sr  0.937  0.937  0.000
Tm  0.687  0.187  0.500
Tm  0.187  0.687  0.500
Na  0.437  0.437  0.000

The calculation puts the volume at 31.0 A^3/atom. The total DFT energy (no corrections) comes out at -34.81 eV for the cell shown.

***

A relaxed NaSr4Tm3Te8 crystal, computed with PBE-GGA.

a b c (Å): 9.048 9.097 9.049
angles (deg): 119.82 120.00 90.00
Fractional coordinates of all 16 atoms:
Te  0.754  0.272  0.508
Te  0.754  0.272  0.018
Te  0.246  0.728  0.492
Te  0.264  0.272  0.018
Te  0.742  0.726  0.484
Te  0.246  0.728  0.982
Te  0.258  0.274  0.516
Te  0.736  0.728  0.982
Sr  0.000  0.000  0.500
Sr  0.500  0.000  0.500
Sr  0.000  0.000  0.000
Sr  0.500  0.000  0.000
Tm  0.500  0.500  0.500
Tm  0.000  0.500  0.500
Tm  0.500  0.500  0.000
Na  0.000  0.500  0.000

The calculation puts the volume at 33.0 A^3/atom. The total DFT energy (no corrections) comes out at -70.05 eV for the cell shown.

***

A relaxed NaSr2TmTe4 crystal, computed with PBE-GGA.

a b c (Å): 4.586 7.985 7.884
angles (deg): 108.67 90.00 90.00
Fractional coordinates of all 8 atoms:
Te  0.000  0.242  0.766
Te  0.500  0.235  0.227
Te  0.500  0.765  0.773
Te  0.000  0.758  0.234
Tm  0.000  0.000  0.000
Na  0.500  0.500  0.000
Sr  0.500  0.000  0.500
Sr  0.000  0.500  0.500

The calculation puts the volume at 34.2 A^3/atom. The total DFT energy (no corrections) comes out at -33.46 eV for the cell shown.

***

A relaxed Na3Sr2UTe6 crystal, computed with PBE-GGA.

a b c (Å): 8.031 8.031 7.933
angles (deg): 99.84 99.84 120.00
Last column: magnetic moment on the atom in μB.
Fractional coordinates of all 12 atoms:
Na  0.500  0.500  0.500  0.00
Na  0.171  0.829  0.500  0.00
Na  0.829  0.171  0.500  0.00
U  0.000  0.000  0.000  1.49
Te  0.224  0.224  0.764  -0.05
Te  0.920  0.614  0.759  -0.05
Te  0.080  0.386  0.241  -0.05
Te  0.614  0.920  0.759  -0.05
Te  0.776  0.776  0.236  -0.05
Te  0.386  0.080  0.241  -0.05
Sr  0.667  0.333  0.000  0.00
Sr  0.333  0.667  0.000  0.00

The calculation puts the volume at 34.7 A^3/atom. The total DFT energy (no corrections) comes out at -50.97 eV for the cell shown.

***

A relaxed NaSr2TeW crystal, computed with PBE-GGA.

a b c (Å): 6.256 5.583 6.256
angles (deg): 90.00 90.00 90.00
Last column: magnetic moment on the atom in μB.
Fractional coordinates of all 5 atoms:
Te  0.000  0.000  0.000  0.03
Na  0.000  0.500  0.000  0.00
W  0.500  0.500  0.500  3.32
Sr  0.000  0.000  0.500  0.04
Sr  0.500  0.000  0.000  0.04

The calculation puts the volume at 43.7 A^3/atom. The total DFT energy (no corrections) comes out at -17.24 eV for the cell shown.

***

A relaxed NaSr3Y3Te8 crystal, computed with PBE-GGA.

a b c (Å): 9.011 9.012 9.160
angles (deg): 119.45 90.00 120.00
Fractional coordinates of all 15 atoms:
Te  0.748  0.019  0.267
Te  0.256  0.513  0.269
Te  0.252  0.504  0.733
Te  0.748  0.496  0.267
Te  0.271  0.019  0.267
Te  0.252  0.981  0.733
Te  0.729  0.981  0.733
Te  0.744  0.487  0.731
Sr  0.000  0.500  0.000
Sr  0.500  0.500  0.000
Sr  0.000  0.000  0.000
Y  0.500  0.000  0.500
Y  0.000  0.500  0.500
Y  0.500  0.500  0.500
Na  0.000  0.000  0.500

The calculation puts the volume at 35.4 A^3/atom. The total DFT energy (no corrections) comes out at -72.57 eV for the cell shown.